First-principles (PBE-GGA) data for crystalline LiZrGaCo at its relaxed geometry, as listed in the Open Quantum Materials Database.

- Electronic total energy: -5.505 eV/atom

Unit cell a=4.321 b=4.321 c=4.321 alpha=60.00 beta=60.00 gamma=60.00
Site moments in Bohr magnetons follow the coordinates.
Fractional positions:
Co: 0.750 0.750 0.750  0.57
Ga: 0.000 0.000 0.000  0.06
Li: 0.250 0.250 0.250  0.00
Zr: 0.500 0.500 0.500  0.14



First-principles (PBE-GGA) data for crystalline LiZrGaCo at its relaxed geometry, as listed in the Open Quantum Materials Database.

- Electronic total energy: -5.261 eV/atom

Unit cell a=4.360 b=4.360 c=4.360 alpha=60.00 beta=60.00 gamma=60.00
Site moments in Bohr magnetons follow the coordinates.
Fractional positions:
Co: 0.750 0.750 0.750  -0.21
Ga: 0.000 0.000 0.000  0.00
Li: 0.500 0.500 0.500  0.01
Zr: 0.250 0.250 0.250  0.02



First-principles (PBE-GGA) data for crystalline Lu2Ga9Co3 at its relaxed geometry, as listed in the Open Quantum Materials Database.

- Electronic total energy: -4.580 eV/atom

Unit cell a=7.312 b=7.312 c=9.331 alpha=90.00 beta=90.00 gamma=119.86
Fractional positions:
Co: 0.000 0.000 0.000
Co: 0.671 0.329 0.000
Co: 0.329 0.671 0.000
Co: 0.000 0.000 0.500
Co: 0.671 0.329 0.500
Co: 0.329 0.671 0.500
Ga: 0.333 0.333 0.060
Ga: 0.666 0.001 0.073
Ga: 0.001 0.666 0.073
Ga: 0.664 0.448 0.250
Ga: 0.448 0.664 0.250
Ga: 0.880 0.880 0.250
Ga: 0.666 0.001 0.427
Ga: 0.001 0.666 0.427
Ga: 0.333 0.333 0.440
Ga: 0.667 0.667 0.560
Ga: 0.999 0.334 0.573
Ga: 0.334 0.999 0.573
Ga: 0.120 0.120 0.750
Ga: 0.552 0.336 0.750
Ga: 0.336 0.552 0.750
Ga: 0.999 0.334 0.927
Ga: 0.334 0.999 0.927
Ga: 0.667 0.667 0.940
Lu: 0.331 0.003 0.250
Lu: 0.003 0.331 0.250
Lu: 0.997 0.669 0.750
Lu: 0.669 0.997 0.750



First-principles (PBE-GGA) data for crystalline LuGa2Co at its relaxed geometry, as listed in the Open Quantum Materials Database.

- Electronic total energy: -4.612 eV/atom

Unit cell a=4.494 b=4.494 c=4.494 alpha=60.00 beta=60.00 gamma=60.00
Fractional positions:
Co: 0.250 0.250 0.250
Ga: 0.000 0.000 0.000
Ga: 0.750 0.750 0.750
Lu: 0.500 0.500 0.500



First-principles (PBE-GGA) data for crystalline LuGaCo2 at its relaxed geometry, as listed in the Open Quantum Materials Database.

- Electronic total energy: -5.403 eV/atom

Unit cell a=4.410 b=4.410 c=4.410 alpha=60.00 beta=60.00 gamma=60.00
Site moments in Bohr magnetons follow the coordinates.
Fractional positions:
Co: 0.000 0.000 0.000  -1.02
Co: 0.750 0.750 0.750  0.63
Ga: 0.500 0.500 0.500  -0.02
Lu: 0.250 0.250 0.250  0.10



First-principles (PBE-GGA) data for crystalline LuGaCo at its relaxed geometry, as listed in the Open Quantum Materials Database.

- Electronic total energy: -5.165 eV/atom

Unit cell a=4.301 b=4.301 c=4.301 alpha=60.00 beta=60.00 gamma=60.00
Fractional positions:
Co: 0.000 0.000 0.000
Ga: 0.250 0.250 0.250
Lu: 0.750 0.750 0.750